--- A ---
Material: SmErI6
Method: DFT, PBE
State: optimized geometry

Lattice parameters (Å, degrees): 8.182 8.182 7.505 98.30 98.30 125.38
Element x y z (fractional)
Sm  0.000  0.000  0.000
Er  0.500  0.500  0.500
I  0.110  0.404  0.256
I  0.253  0.253  0.747
I  0.404  0.110  0.256
I  0.596  0.890  0.744
I  0.747  0.747  0.253
I  0.890  0.596  0.744

Values from the calculation:
Space-group type: No. 12
V (Å³ per atom): 48.600


--- B ---
Material: SmErI6
Method: DFT, PBE
State: optimized geometry

Lattice parameters (Å, degrees): 8.206 8.206 8.206 55.62 55.62 55.62
Element x y z (fractional)
Sm  0.000  0.000  0.000
Er  0.500  0.500  0.500
I  0.094  0.745  0.414
I  0.255  0.586  0.906
I  0.414  0.094  0.745
I  0.586  0.906  0.255
I  0.745  0.414  0.094
I  0.906  0.255  0.586

Values from the calculation:
Space-group type: No. 148
V (Å³ per atom): 43.880


Which of them is least stable? Easy: B.


--- A ---
Material: Sm2ErI
Method: DFT, PBE
State: optimized geometry

Lattice parameters (Å, degrees): 3.667 3.667 9.601 90.00 90.00 90.00
Element x y z (fractional)
Sm  0.000  0.000  0.244
Sm  0.000  0.000  0.756
Er  0.500  0.500  0.500
I  0.500  0.500  0.000

Values from the calculation:
Space-group type: No. 123
V (Å³ per atom): 32.285


--- B ---
Material: Sm2ErI
Method: DFT, PBE
State: optimized geometry

Lattice parameters (Å, degrees): 10.782 10.782 10.782 20.29 20.29 20.29
Element x y z (fractional)
Sm  0.000  0.000  0.000
Sm  0.174  0.174  0.174
Er  0.754  0.754  0.754
I  0.587  0.587  0.587

Values from the calculation:
Space-group type: No. 160
V (Å³ per atom): 32.973


--- C ---
Material: Sm2ErI
Method: DFT, PBE
State: optimized geometry

Lattice parameters (Å, degrees): 11.966 11.966 11.966 17.42 17.42 17.42
Element x y z (fractional)
Sm  0.095  0.095  0.095
Sm  0.905  0.905  0.905
Er  0.000  0.000  0.000
I  0.500  0.500  0.500

Values from the calculation:
Space-group type: No. 166
V (Å³ per atom): 33.492


Which of them is least stable? Easy: C.


--- A ---
Material: Er2TcI
Method: DFT, PBE
State: optimized geometry

Lattice parameters (Å, degrees): 8.983 8.983 8.983 23.88 23.88 23.88
Element x y z (fractional)
Er  0.237  0.237  0.237
Er  0.763  0.763  0.763
Tc  0.500  0.500  0.500
I  0.000  0.000  0.000

Values from the calculation:
Space-group type: No. 166
V (Å³ per atom): 26.084


--- B ---
Material: Er2TcI
Method: DFT, PBE
State: optimized geometry

Lattice parameters (Å, degrees): 3.529 3.529 8.110 90.00 90.00 90.00
Element x y z (fractional)
Er  0.000  0.000  0.195
Er  0.000  0.000  0.805
Tc  0.500  0.500  0.000
I  0.500  0.500  0.500

Values from the calculation:
Space-group type: No. 123
V (Å³ per atom): 25.250


Which of them is least stable? Easy: A.


--- A ---
Material: ErTeI
Method: DFT, PBE
State: optimized geometry

Lattice parameters (Å, degrees): 7.776 7.776 7.776 151.63 151.63 40.56
Element x y z (fractional)
Er  0.000  0.000  0.000
Te  0.607  0.607  0.000
I  0.357  0.357  0.000

Values from the calculation:
Space-group type: No. 107
V (Å³ per atom): 35.314


--- B ---
Material: ErTeI
Method: DFT, PBE
State: optimized geometry

Lattice parameters (Å, degrees): 7.401 4.331 7.461 90.00 92.92 90.00
Element x y z (fractional)
Er  0.000  0.000  0.000
Er  0.000  0.500  0.500
Te  0.229  0.000  0.685
Te  0.771  0.000  0.315
I  0.251  0.500  0.174
I  0.749  0.500  0.826

Values from the calculation:
Space-group type: No. 10
V (Å³ per atom): 39.808


--- C ---
Material: ErTeI
Method: DFT, PBE
State: optimized geometry

Lattice parameters (Å, degrees): 4.336 4.336 7.418 90.00 90.00 120.00
Element x y z (fractional)
Er  0.000  0.000  0.000
Te  0.333  0.667  0.785
I  0.667  0.333  0.264

Values from the calculation:
Space-group type: No. 156
V (Å³ per atom): 40.249


Which of them is least stable? Easy: A.


--- A ---
Material: ErThI
Method: DFT, PBE
State: optimized geometry

Lattice parameters (Å, degrees): 8.366 8.366 8.366 37.78 37.78 37.78
Element x y z (fractional)
Er  0.127  0.127  0.127
Er  0.873  0.873  0.873
Th  0.289  0.289  0.289
Th  0.711  0.711  0.711
I  0.425  0.425  0.425
I  0.575  0.575  0.575

Values from the calculation:
Space-group type: No. 166
V (Å³ per atom): 32.856


--- B ---
Material: ErThI
Method: DFT, PBE
State: optimized geometry

Lattice parameters (Å, degrees): 5.400 5.400 3.697 90.00 90.00 120.00
Element x y z (fractional)
Er  0.000  0.000  0.000
Th  0.333  0.667  0.500
I  0.667  0.333  0.000

Values from the calculation:
Space-group type: No. 187
V (Å³ per atom): 31.111


Which of them is least stable? Easy: A.


--- A ---
Material: ErTlI
Method: DFT, PBE
State: optimized geometry

Lattice parameters (Å, degrees): 7.017 3.886 7.521 90.00 95.39 90.00
Element x y z (fractional)
Er  0.014  0.250  0.287
Er  0.986  0.750  0.713
Tl  0.344  0.750  0.434
Tl  0.656  0.250  0.566
I  0.245  0.250  0.949
I  0.755  0.750  0.051

Values from the calculation:
Space-group type: No. 11
V (Å³ per atom): 34.035


--- B ---
Material: ErTlI
Method: DFT, PBE
State: optimized geometry

Lattice parameters (Å, degrees): 3.873 4.719 12.476 90.23 90.28 90.00
Element x y z (fractional)
Er  0.003  0.252  0.160
Er  0.997  0.748  0.840
Tl  0.498  0.249  0.920
Tl  0.502  0.751  0.080
I  0.495  0.748  0.656
I  0.505  0.252  0.344

Values from the calculation:
Space-group type: No. 2
V (Å³ per atom): 38.008


Which of them is least stable? Easy: A.


--- A ---
Material: ErTmI
Method: DFT, PBE
State: optimized geometry

Lattice parameters (Å, degrees): 7.309 7.309 7.309 151.06 151.06 41.39
Element x y z (fractional)
Er  0.000  0.000  0.000
Tm  0.335  0.335  0.000
I  0.668  0.668  0.000

Values from the calculation:
Space-group type: No. 107
V (Å³ per atom): 30.405


--- B ---
Material: ErTmI
Method: DFT, PBE
State: optimized geometry

Lattice parameters (Å, degrees): 5.375 5.375 3.719 90.00 90.00 120.00
Element x y z (fractional)
Er  0.000  0.000  0.000
Tm  0.667  0.333  0.521
I  0.333  0.667  0.761

Values from the calculation:
Space-group type: No. 156
V (Å³ per atom): 31.017


Which of them is least stable? Easy: B.


--- A ---
Material: Er2TmI
Method: DFT, PBE
State: optimized geometry

Lattice parameters (Å, degrees): 3.604 3.604 9.363 90.00 90.00 90.00
Element x y z (fractional)
Er  0.000  0.000  0.248
Er  0.000  0.000  0.752
Tm  0.500  0.500  0.500
I  0.500  0.500  0.000

Values from the calculation:
Space-group type: No. 123
V (Å³ per atom): 30.398


--- B ---
Material: Er2TmI
Method: DFT, PBE
State: optimized geometry

Lattice parameters (Å, degrees): 10.557 10.557 10.557 20.21 20.21 20.21
Element x y z (fractional)
Er  0.246  0.246  0.246
Er  0.754  0.754  0.754
Tm  0.000  0.000  0.000
I  0.500  0.500  0.500

Values from the calculation:
Space-group type: No. 166
V (Å³ per atom): 30.725


Which of them is least stable? Easy: A.


--- A ---
Material: Y2ErI
Method: DFT, PBE
State: optimized geometry

Lattice parameters (Å, degrees): 11.836 11.836 11.836 17.54 17.54 17.54
Element x y z (fractional)
Y  0.095  0.095  0.095
Y  0.905  0.905  0.905
Er  0.000  0.000  0.000
I  0.500  0.500  0.500

Values from the calculation:
Space-group type: No. 166
V (Å³ per atom): 32.852


--- B ---
Material: Y2ErI
Method: DFT, PBE
State: optimized geometry

Lattice parameters (Å, degrees): 3.639 3.639 9.473 90.00 90.00 90.00
Element x y z (fractional)
Y  0.000  0.000  0.246
Y  0.000  0.000  0.754
Er  0.500  0.500  0.500
I  0.500  0.500  0.000

Values from the calculation:
Space-group type: No. 123
V (Å³ per atom): 31.361


Which of them is least stable? Easy: A.


--- A ---
Material: YErI6
Method: DFT, PBE
State: optimized geometry

Lattice parameters (Å, degrees): 8.143 8.143 8.143 55.69 55.69 55.69
Element x y z (fractional)
Y  0.000  0.000  0.000
Er  0.500  0.500  0.500
I  0.093  0.410  0.748
I  0.252  0.907  0.590
I  0.410  0.748  0.093
I  0.590  0.252  0.907
I  0.748  0.093  0.410
I  0.907  0.590  0.252

Values from the calculation:
Space-group type: No. 148
V (Å³ per atom): 42.960


--- B ---
Material: YErI6
Method: DFT, PBE
State: optimized geometry

Lattice parameters (Å, degrees): 8.304 8.304 7.438 98.17 98.17 126.82
Element x y z (fractional)
Y  0.000  0.000  0.000
Er  0.500  0.500  0.500
I  0.109  0.394  0.253
I  0.252  0.252  0.750
I  0.394  0.109  0.253
I  0.606  0.891  0.747
I  0.748  0.748  0.250
I  0.891  0.606  0.747

Values from the calculation:
Space-group type: No. 12
V (Å³ per atom): 48.662


Which of them is least stable? Easy: A.


--- A ---
Material: Er4ZnI5
Method: DFT, PBE
State: optimized geometry

Lattice parameters (Å, degrees): 9.760 9.760 8.839 102.15 102.15 24.19
Element x y z (fractional)
Er  0.000  0.000  0.214
Er  0.000  0.000  0.786
Er  0.354  0.354  0.926
Er  0.646  0.646  0.074
Zn  0.500  0.500  0.000
I  0.167  0.167  0.340
I  0.175  0.175  0.829
I  0.500  0.500  0.500
I  0.825  0.825  0.171
I  0.833  0.833  0.660

Values from the calculation:
Space-group type: No. 12
V (Å³ per atom): 33.696


--- B ---
Material: Er4ZnI5
Method: DFT, PBE
State: optimized geometry

Lattice parameters (Å, degrees): 11.205 11.205 8.739 90.21 90.21 20.99
Element x y z (fractional)
Er  0.000  0.000  0.216
Er  0.000  0.000  0.784
Er  0.379  0.379  0.999
Er  0.621  0.621  0.001
Zn  0.500  0.500  0.000
I  0.149  0.149  0.254
I  0.150  0.150  0.750
I  0.500  0.500  0.500
I  0.850  0.850  0.250
I  0.851  0.851  0.746

Values from the calculation:
Space-group type: No. 12
V (Å³ per atom): 39.307


Which of them is least stable? Easy: B.


--- A ---
Material: Er3In5
Method: DFT, PBE
State: optimized geometry

Lattice parameters (Å, degrees): 6.555 6.555 4.735 90.00 90.00 91.42
Element x y z (fractional)
Er  0.000  0.000  0.000
Er  0.274  0.726  0.500
Er  0.726  0.274  0.500
In  0.000  0.500  0.000
In  0.232  0.232  0.500
In  0.500  0.000  0.000
In  0.500  0.500  0.000
In  0.768  0.768  0.500

Values from the calculation:
Space-group type: No. 65
V (Å³ per atom): 25.422


--- B ---
Material: Er3In5
Method: DFT, PBE
State: optimized geometry

Lattice parameters (Å, degrees): 6.341 6.341 10.342 90.00 90.00 78.54
Element x y z (fractional)
Er  0.113  0.887  0.750
Er  0.294  0.294  0.000
Er  0.294  0.294  0.500
Er  0.706  0.706  0.000
Er  0.706  0.706  0.500
Er  0.887  0.113  0.250
In  0.007  0.431  0.750
In  0.195  0.805  0.043
In  0.195  0.805  0.457
In  0.431  0.007  0.250
In  0.499  0.501  0.250
In  0.501  0.499  0.750
In  0.569  0.993  0.750
In  0.805  0.195  0.543
In  0.805  0.195  0.957
In  0.993  0.569  0.250

Values from the calculation:
Space-group type: No. 63
V (Å³ per atom): 25.474


Which of them is least stable? Easy: A.